No. 1
Zn4CdSe | PBEsol | optimized geometry

Calculated values
Electronic total energy, eV per atom: -1.746
ΔE_f (raw), meV per atom: 150

Lattice parameters (Å, degrees): 7.393 7.393 7.393 90.00 90.00 90.00
Space group F-43m (No. 216)
Asymmetric unit:
Zn  0.124  0.124  0.376 (multiplicity 16)
Cd  0.250  0.250  0.750 (multiplicity 4)
Se  0.000  0.000  0.000 (multiplicity 4)

=====

No. 2
Ca2ZnAg | PBEsol | optimized geometry

Calculated values
Electronic total energy, eV per atom: -2.477

Lattice parameters (Å, degrees): 4.4451 4.4451 20.1156 90.00 90.00 120.00
Space group R3m (No. 160, hexagonal axes)
Asymmetric unit:
Ca  0.0000  0.0000  0.0000 (multiplicity 3)
Ca  0.0000  0.0000  0.1808 (multiplicity 3)
Zn  0.0000  0.0000  0.7578 (multiplicity 3)
Ag  0.0000  0.0000  0.4229 (multiplicity 3)

=====

No. 3
Mn2NiPt | PBEsol | optimized geometry

Calculated values
Electronic total energy, eV per atom: -8.099

Lattice parameters (Å, degrees): 2.5839 2.5839 24.7959 90.00 90.00 120.00
Space group R3m (No. 160, hexagonal axes)
Asymmetric unit:
Mn  0.0000  0.0000  0.0000 (multiplicity 3)
Mn  0.0000  0.0000  0.2572 (multiplicity 3)
Ni  0.0000  0.0000  0.7458 (multiplicity 3)
Pt  0.0000  0.0000  0.5015 (multiplicity 3)